Record 1
An optimized crystal structure of La2C2N4O. Source: Alexandria via LeMat-Bulk, functional PBEsol.

abc: 7.3686 7.3686 6.0518
angles: 102.96 102.96 49.69
Positions (direct):
La 0.1146 0.6843 0.9252
La 0.3157 0.8854 0.5748
La 0.6843 0.1146 0.4252
La 0.8854 0.3157 0.0748
C 0.1196 0.5750 0.3880
C 0.4250 0.8804 0.1120
C 0.5750 0.1196 0.8880
C 0.8804 0.4250 0.6120
N 0.0535 0.3652 0.7554
N 0.2905 0.5267 0.5314
N 0.3652 0.0535 0.2554
N 0.4733 0.7095 0.9686
N 0.5267 0.2905 0.0314
N 0.6348 0.9465 0.7446
N 0.7095 0.4733 0.4686
N 0.9465 0.6348 0.2446
O 0.0268 0.9732 0.2500
O 0.9732 0.0268 0.7500

## Properties
Crystal system ... monoclinic
Formation energy (no corrections) ... -1.359 eV per atom

***

Record 2
An optimized crystal structure of La2SiCN2O4. Source: Alexandria via LeMat-Bulk, functional PBEsol.

abc: 6.4765 12.7169 6.6092
angles: 90.00 105.62 90.00
Positions (direct):
La 0.0272 0.1450 0.3276
La 0.0272 0.3550 0.8276
La 0.4134 0.5990 0.7214
La 0.4134 0.9010 0.2214
La 0.5866 0.0990 0.7786
La 0.5866 0.4010 0.2786
La 0.9728 0.6450 0.1724
La 0.9728 0.8550 0.6724
Si 0.0913 0.0996 0.8096
Si 0.0913 0.4004 0.3096
Si 0.9087 0.5996 0.6904
Si 0.9087 0.9004 0.1904
C 0.4758 0.6524 0.2363
C 0.4758 0.8476 0.7363
C 0.5242 0.1524 0.2637
C 0.5242 0.3476 0.7637
N 0.3716 0.7053 0.3306
N 0.3716 0.7947 0.8306
N 0.4226 0.0976 0.3582
N 0.4226 0.4024 0.8582
N 0.5774 0.5976 0.1418
N 0.5774 0.9024 0.6418
N 0.6284 0.2053 0.1694
N 0.6284 0.2947 0.6694
O 0.0285 0.6669 0.5439
O 0.0285 0.8331 0.0439
O 0.1101 0.5518 0.8760
O 0.1101 0.9482 0.3760
O 0.2238 0.1815 0.7007
O 0.2238 0.3185 0.2007
O 0.2540 0.0052 0.9116
O 0.2540 0.4948 0.4116
O 0.7460 0.5052 0.5884
O 0.7460 0.9948 0.0884
O 0.7762 0.6815 0.7993
O 0.7762 0.8185 0.2993
O 0.8899 0.0518 0.6240
O 0.8899 0.4482 0.1240
O 0.9715 0.1669 0.9561
O 0.9715 0.3331 0.4561

## Properties
Crystal system ... monoclinic
Formation energy (no corrections) ... -2.420 eV per atom

***

Record 3
An optimized crystal structure of NaLaC2O6. Source: Alexandria via LeMat-Bulk, functional PBEsol.

abc: 5.1575 6.4137 7.1487
angles: 90.00 90.00 90.00
Positions (direct):
Na 0.0000 0.0202 0.0000
Na 0.0000 0.9798 0.5000
La 0.5000 0.3657 0.2970
La 0.5000 0.6343 0.7970
C 0.0000 0.4676 0.9673
C 0.0000 0.5324 0.4673
C 0.5000 0.0856 0.7149
C 0.5000 0.9144 0.2149
O 0.0000 0.3553 0.3816
O 0.0000 0.6447 0.8816
O 0.2198 0.3790 0.0045
O 0.2198 0.6210 0.5045
O 0.2865 0.0103 0.2522
O 0.2865 0.9897 0.7522
O 0.5000 0.2683 0.6360
O 0.5000 0.7317 0.1360
O 0.7135 0.0103 0.2522
O 0.7135 0.9897 0.7522
O 0.7802 0.3790 0.0045
O 0.7802 0.6210 0.5045

## Properties
Crystal system ... orthorhombic
Formation energy (no corrections) ... -2.165 eV per atom

***

Record 4
An optimized crystal structure of LaNbC2. Source: Alexandria via LeMat-Bulk, functional PBEsol.

abc: 4.2410 4.2410 4.2410
angles: 60.00 60.00 60.00
Positions (direct):
La 0.0000 0.0000 0.0000
Nb 0.5000 0.5000 0.5000
C 0.2500 0.2500 0.2500
C 0.7500 0.7500 0.7500

## Properties
Crystal system ... cubic
Formation enthalpy at 0 K ... 339 kJ/mol of formula units

***

Record 5
An optimized crystal structure of LaNdC4. Source: Alexandria via LeMat-Bulk, functional PBEsol.

abc: 4.2433 4.2433 7.4770
angles: 115.35 115.35 53.73
Positions (direct):
La 0.0000 0.0000 0.0000
Nd 0.5000 0.5000 0.5000
C 0.1959 0.1959 0.7925
C 0.2976 0.2976 0.6937
C 0.7024 0.7024 0.3063
C 0.8041 0.8041 0.2075

## Properties
Crystal system ... monoclinic
Formation enthalpy at 0 K ... -68 kJ/mol of formula units

***

Record 6
An optimized crystal structure of LaNdC4. Source: Alexandria via LeMat-Bulk, functional PBEsol.

abc: 3.8377 3.8377 6.4747
angles: 90.00 90.00 90.00
Positions (direct):
La 0.0000 0.0000 0.0000
Nd 0.5000 0.5000 0.5000
C 0.0000 0.0000 0.3999
C 0.0000 0.0000 0.6001
C 0.5000 0.5000 0.1002
C 0.5000 0.5000 0.8998

## Properties
Crystal system ... tetragonal
Formation enthalpy at 0 K ... -65 kJ/mol of formula units

***

Record 7
An optimized crystal structure of La2Ni5C3. Source: Alexandria via LeMat-Bulk, functional PBEsol.

abc: 8.2222 8.2222 3.9573
angles: 90.00 90.00 90.00
Positions (direct):
La 0.1618 0.3382 0.0000
La 0.3382 0.8382 0.0000
La 0.6618 0.1618 0.0000
La 0.8382 0.6618 0.0000
Ni 0.0000 0.0000 0.0000
Ni 0.0758 0.7875 0.5000
Ni 0.2125 0.0758 0.5000
Ni 0.2875 0.5758 0.5000
Ni 0.4242 0.2875 0.5000
Ni 0.5000 0.5000 0.0000
Ni 0.5758 0.7125 0.5000
Ni 0.7125 0.4242 0.5000
Ni 0.7875 0.9242 0.5000
Ni 0.9242 0.2125 0.5000
C 0.0000 0.0000 0.5000
C 0.0586 0.5586 0.5000
C 0.4414 0.0586 0.5000
C 0.5000 0.5000 0.5000
C 0.5586 0.9414 0.5000
C 0.9414 0.4414 0.5000

## Properties
Crystal system ... tetragonal
Formation enthalpy at 0 K ... -317 kJ/mol of formula units

***

Record 8
An optimized crystal structure of La2CO5. Source: Alexandria via LeMat-Bulk, functional PBEsol.

abc: 15.9006 4.0209 4.0209
angles: 119.13 90.00 90.00
Positions (direct):
La 0.0951 0.1673 0.8327
La 0.4049 0.1673 0.8327
La 0.5951 0.8327 0.1673
La 0.9049 0.8327 0.1673
C 0.2500 0.6473 0.5749
C 0.7500 0.5749 0.6473
O 0.0565 0.8314 0.1664
O 0.1780 0.4725 0.4846
O 0.2500 0.0125 0.7640
O 0.3220 0.4725 0.4846
O 0.4435 0.8314 0.1664
O 0.5565 0.1664 0.8314
O 0.6780 0.4846 0.4725
O 0.7500 0.7640 0.0125
O 0.8220 0.4846 0.4725
O 0.9435 0.1664 0.8314

## Properties
Crystal system ... orthorhombic
Formation energy (no corrections) ... -2.840 eV per atom

***

Record 9
An optimized crystal structure of La2CO. Source: Alexandria via LeMat-Bulk, functional PBEsol.

abc: 4.4692 4.4692 4.4692
angles: 60.00 60.00 60.00
Positions (direct):
La 0.2500 0.2500 0.2500
La 0.7500 0.7500 0.7500
C 0.0000 0.0000 0.0000
O 0.5000 0.5000 0.5000

## Properties
Crystal system ... cubic
Formation energy (no corrections) ... -0.982 eV per atom

***

Record 10
An optimized crystal structure of La2CO5. Source: Alexandria via LeMat-Bulk, functional PBEsol.

abc: 6.9949 6.9949 16.3820
angles: 102.32 102.32 60.01
Positions (direct):
La 0.0355 0.8607 0.5946
La 0.1393 0.9645 0.9054
La 0.2029 0.3645 0.0943
La 0.3052 0.4679 0.4033
La 0.3645 0.2029 0.5943
La 0.4679 0.3052 0.9033
La 0.5321 0.6948 0.0967
La 0.6355 0.7971 0.4057
La 0.6948 0.5321 0.5967
La 0.7971 0.6355 0.9057
La 0.8607 0.0355 0.0946
La 0.9645 0.1393 0.4054
C 0.0285 0.5842 0.7502
C 0.1944 0.8056 0.2500
C 0.4158 0.9715 0.7498
C 0.5842 0.0285 0.2502
C 0.8056 0.1944 0.7500
C 0.9715 0.4158 0.2498
O 0.0105 0.9895 0.2500
O 0.0211 0.1846 0.5586
O 0.0906 0.5597 0.6780
O 0.1437 0.6075 0.8211
O 0.1455 0.3142 0.9411
O 0.1554 0.4149 0.2485
O 0.1846 0.0211 0.0586
O 0.2595 0.6928 0.1785
O 0.3072 0.7405 0.3215
O 0.3142 0.1455 0.4411
O 0.3492 0.5175 0.5524
O 0.3925 0.8563 0.6789
O 0.4149 0.1554 0.7485
O 0.4403 0.9094 0.8220
O 0.4825 0.6508 0.9476
O 0.5175 0.3492 0.0524
O 0.5597 0.0906 0.1780
O 0.5851 0.8446 0.2515
O 0.6075 0.1437 0.3211
O 0.6508 0.4825 0.4476
O 0.6858 0.8545 0.5589
O 0.6928 0.2595 0.6785
O 0.7405 0.3072 0.8215
O 0.8154 0.9789 0.9414
O 0.8446 0.5851 0.7515
O 0.8545 0.6858 0.0589
O 0.8563 0.3925 0.1789
O 0.9094 0.4403 0.3220
O 0.9789 0.8154 0.4414
O 0.9895 0.0105 0.7500

## Properties
Crystal system ... monoclinic
Formation energy (no corrections) ... -2.860 eV per atom

***

Record 11
An optimized crystal structure of La14Sb8CO7. Source: Alexandria via LeMat-Bulk, functional PBEsol.

abc: 13.0575 13.0575 9.3800
angles: 90.00 90.00 90.00
Positions (direct):
La 0.0000 0.0000 0.0000
La 0.0000 0.5000 0.9745
La 0.0099 0.2492 0.6561
La 0.1096 0.3904 0.3138
La 0.1152 0.8456 0.3223
La 0.1544 0.1152 0.3223
La 0.2492 0.7492 0.9852
La 0.2492 0.9901 0.6561
La 0.2508 0.2492 0.9852
La 0.2508 0.4901 0.6561
La 0.3456 0.6152 0.3223
La 0.3848 0.3456 0.3223
La 0.3904 0.8904 0.3138
La 0.4901 0.7492 0.6561
La 0.5000 0.0000 0.9745
La 0.5000 0.5000 0.0000
La 0.5099 0.2508 0.6561
La 0.6096 0.1096 0.3138
La 0.6152 0.6544 0.3223
La 0.6544 0.3848 0.3223
La 0.7492 0.5099 0.6561
La 0.7492 0.7508 0.9852
La 0.7508 0.0099 0.6561
La 0.7508 0.2508 0.9852
La 0.8456 0.8848 0.3223
La 0.8848 0.1544 0.3223
La 0.8904 0.6096 0.3138
La 0.9901 0.7508 0.6561
Sb 0.0000 0.0000 0.6214
Sb 0.0000 0.5000 0.6151
Sb 0.0014 0.2504 0.0146
Sb 0.2405 0.7405 0.6287
Sb 0.2496 0.4986 0.0146
Sb 0.2504 0.9986 0.0146
Sb 0.2595 0.2405 0.6287
Sb 0.4986 0.7504 0.0146
Sb 0.5000 0.0000 0.6151
Sb 0.5000 0.5000 0.6214
Sb 0.5014 0.2496 0.0146
Sb 0.7405 0.7595 0.6287
Sb 0.7496 0.0014 0.0146
Sb 0.7504 0.5014 0.0146
Sb 0.7595 0.2595 0.6287
Sb 0.9986 0.7496 0.0146
C 0.0000 0.0000 0.2516
C 0.5000 0.5000 0.2516
O 0.0000 0.5000 0.2104
O 0.0295 0.2407 0.4121
O 0.2362 0.2638 0.2267
O 0.2407 0.9705 0.4121
O 0.2593 0.4705 0.4121
O 0.2638 0.7638 0.2267
O 0.4705 0.7407 0.4121
O 0.5000 0.0000 0.2104
O 0.5295 0.2593 0.4121
O 0.7362 0.2362 0.2267
O 0.7407 0.5295 0.4121
O 0.7593 0.0295 0.4121
O 0.7638 0.7362 0.2267
O 0.9705 0.7593 0.4121

## Properties
Crystal system ... tetragonal
Formation energy (no corrections) ... -2.050 eV per atom

***

Record 12
An optimized crystal structure of La9Sb5CO4. Source: Alexandria via LeMat-Bulk, functional PBEsol.

abc: 10.4087 10.4087 9.3630
angles: 90.00 90.00 90.00
Positions (direct):
La 0.0231 0.1706 0.0030
La 0.0460 0.6459 0.6595
La 0.1459 0.9540 0.3405
La 0.1706 0.4769 0.0030
La 0.2500 0.2500 0.6811
La 0.3294 0.0231 0.0030
La 0.3541 0.5460 0.3405
La 0.4540 0.8541 0.6595
La 0.4769 0.3294 0.0030
La 0.5231 0.6706 0.9970
La 0.5460 0.1459 0.3405
La 0.6459 0.4540 0.6595
La 0.6706 0.9769 0.9970
La 0.7500 0.7500 0.3189
La 0.8294 0.5231 0.9970
La 0.8541 0.0460 0.6595
La 0.9540 0.3541 0.3405
La 0.9769 0.8294 0.9970
Sb 0.0553 0.6523 0.3014
Sb 0.1523 0.9447 0.6986
Sb 0.2500 0.2500 0.3125
Sb 0.3477 0.5553 0.6986
Sb 0.4447 0.8477 0.3014
Sb 0.5553 0.1523 0.6986
Sb 0.6523 0.4447 0.3014
Sb 0.7500 0.7500 0.6875
Sb 0.8477 0.0553 0.3014
Sb 0.9447 0.3477 0.6986
C 0.2500 0.2500 0.9320
C 0.7500 0.7500 0.0680
O 0.0237 0.6281 0.9021
O 0.1281 0.9763 0.0979
O 0.3719 0.5237 0.0979
O 0.4763 0.8719 0.9021
O 0.5237 0.1281 0.0979
O 0.6281 0.4763 0.9021
O 0.8719 0.0237 0.9021
O 0.9763 0.3719 0.0979

## Properties
Crystal system ... tetragonal
Formation energy (no corrections) ... -1.918 eV per atom

***

Record 13
An optimized crystal structure of La2CSeO. Source: Alexandria via LeMat-Bulk, functional PBEsol.

abc: 4.9342 4.9342 4.0355
angles: 90.00 90.00 90.00
Positions (direct):
La 0.0000 0.5000 0.0000
La 0.5000 0.0000 0.0000
C 0.0000 0.0000 0.5000
Se 0.5000 0.5000 0.5000
O 0.5000 0.5000 0.0000

## Properties
Crystal system ... tetragonal
Formation energy (no corrections) ... -0.430 eV per atom

***

Record 14
An optimized crystal structure of LaOsC2. Source: Alexandria via LeMat-Bulk, functional PBEsol.

abc: 4.1540 4.1540 4.1540
angles: 60.00 60.00 60.00
Positions (direct):
La 0.0000 0.0000 0.0000
Os 0.5000 0.5000 0.5000
C 0.2500 0.2500 0.2500
C 0.7500 0.7500 0.7500

## Properties
Crystal system ... cubic
Formation enthalpy at 0 K ... 413 kJ/mol of formula units

***

Record 15
An optimized crystal structure of La7Os4C9. Source: Alexandria via LeMat-Bulk, functional PBEsol.

abc: 6.5324 6.5324 11.8808
angles: 108.98 108.98 48.48
Positions (direct):
La 0.0000 0.0000 0.0000
La 0.1360 0.1360 0.6166
La 0.1483 0.1483 0.3221
La 0.3738 0.3738 0.1571
La 0.6262 0.6262 0.8429
La 0.8517 0.8517 0.6779
La 0.8640 0.8640 0.3834
Os 0.3566 0.3566 0.8589
Os 0.4331 0.4331 0.5708
Os 0.5669 0.5669 0.4292
Os 0.6434 0.6434 0.1411
C 0.0754 0.0754 0.8183
C 0.1945 0.1945 0.8551
C 0.3836 0.3836 0.7092
C 0.3920 0.3920 0.3868
C 0.5000 0.5000 0.0000
C 0.6080 0.6080 0.6132
C 0.6164 0.6164 0.2908
C 0.8055 0.8055 0.1449
C 0.9246 0.9246 0.1817

## Properties
Crystal system ... monoclinic
Formation enthalpy at 0 K ... -528 kJ/mol of formula units

***

no.,electronic total energy (eV per atom)
1,-9.063
2,-8.833
3,-7.918
4,-7.986
5,-8.298
6,-8.294
7,-7.369
8,-8.662
9,-7.378
10,-8.683
11,-7.306
12,-7.263
13,-6.317
14,-8.141
15,-8.928